[1]
# Ho5Fe2Hg GGA-PBE optimized geometry
data_Ho5Fe2Hg
_cell_length_a 7.402
_cell_length_b 7.402
_cell_length_c 14.088
_cell_angle_alpha 90.00
_cell_angle_beta 90.00
_cell_angle_gamma 90.00
_symmetry_space_group_name_H-M 'I 4/m c m'
_symmetry_Int_Tables_number 140
_symmetry_space_group_name_Hall '-I 4 2c'
loop_
_atom_site_label
_atom_site_fract_x
_atom_site_fract_y
_atom_site_fract_z
Ho1 0.000 0.000 0.000
Ho2 0.174 0.326 0.135
Fe1 0.108 0.392 0.500
Hg1 0.000 0.000 0.250
# energy of formation	-152	meV/atom
# DOS at the Fermi energy	1.0416	states/eV/atom
# crystal system	tetragonal

[2]
# Sr2LiDySe4 GGA-PBE optimized geometry
data_Sr2LiDySe4
_cell_length_a 7.342
_cell_length_b 4.274
_cell_length_c 7.343
_cell_angle_alpha 90.00
_cell_angle_beta 108.81
_cell_angle_gamma 90.00
_symmetry_space_group_name_H-M 'P 1 2/m 1'
_symmetry_Int_Tables_number 10
loop_
_symmetry_equiv_pos_as_xyz
'x,y,z'
'-x,-y,-z'
'-x,y,-z'
'x,-y,z'
loop_
_atom_site_label
_atom_site_fract_x
_atom_site_fract_y
_atom_site_fract_z
Sr1 0.000 0.000 0.000
Sr2 0.500 0.500 0.000
Li1 0.000 0.500 0.500
Dy1 0.500 0.000 0.500
Se1 0.249 0.000 0.729
Se2 0.259 0.500 0.275
# E_tot	-4.8081	eV per atom
# crystal system	monoclinic